ThFeNiP2 | PBE | relaxed

The value obtained for the magnetic moment is 1.7 μB per formula unit. The calculation puts the density of states at the Fermi level at 3.1 states/eV/f.u. For the energy of formation from the pure elements, the calculation gives -0.95 eV per atom.

Cell lengths 3.846, 3.846, 5.919 Å; angles 108.96, 108.96, 90.00 degrees
Site moments in Bohr magnetons follow the coordinates.
Element x y z (fractional)
1 Th 0.000 0.000 0.000  0.03
2 Fe 0.750 0.250 0.500  1.31
3 Ni 0.250 0.750 0.500  0.26
4 P 0.638 0.638 0.277  0.01
5 P 0.362 0.362 0.723  0.01